Compound: AcInCuIr
Source: Alexandria
Functional: PBE
Structure: relaxed

- Symmetry: F-43m
- V: 88.7 Å³/f.u.
- Theoretical density: 11.19 Mg/m³
- Formation energy from the elements: -0.14 eV per atom

Cell lengths 5.005, 5.005, 5.005 Å; angles 60.00, 60.00, 60.00 degrees
Fractional positions:
Ac  0.250  0.250  0.250
Ir  0.000  0.000  0.000
Cu  0.500  0.500  0.500
In  0.750  0.750  0.750